No. 1
Entry from Alexandria via LeMat-Bulk: a relaxed LiCaNiAu crystal (PBE-GGA).

It has space group F-43m (No. 216), with a = 6.5137 Å, b = 6.5137 Å, c = 6.5137 Å, α = 90.00°, β = 90.00° and γ = 90.00°. Symmetry generates all atoms from Li at (0.0000, 0.0000, 0.0000), Ca at (0.2500, 0.2500, 0.7500), Ni at (0.0000, 0.0000, 0.5000) and Au at (0.2500, 0.2500, 0.2500).

The energy comes out at -3.519 eV per atom. The spin magnetization is 0.0 μB/f.u. The calculation puts the formation energy at -1.10 eV/f.u. The volume is 276 Å³/cell.

No. 2
Entry from Alexandria via LeMat-Bulk: a relaxed Li2CaNiAu crystal (PBE-GGA).

It has space group P4/mmm (No. 123), with a = 4.5628 Å, b = 4.5628 Å, c = 5.2127 Å, α = 90.00°, β = 90.00° and γ = 90.00°. Symmetry generates all atoms from Li at (0.0000, 0.5000, 0.0000), Ca at (0.0000, 0.0000, 0.5000), Ni at (0.0000, 0.0000, 0.0000) and Au at (0.5000, 0.5000, 0.5000).

The energy comes out at -2.907 eV per atom. The spin magnetization is 0.0 μB/f.u. The calculation puts the formation energy at 0.35 eV/f.u. The volume is 109 Å³/cell.

No. 3
Entry from Alexandria via LeMat-Bulk: a relaxed Li2CaAuO4 crystal (PBE-GGA).

It has space group C2/c (No. 15), with a = 8.9714 Å, b = 8.4782 Å, c = 6.7339 Å, α = 90.00°, β = 130.48° and γ = 90.00°. Symmetry generates all atoms from Li at (0.0000, 0.0000, 0.0000), Li at (0.2500, 0.2500, 0.0000), Ca at (0.2500, 0.2500, 0.5000), Au at (0.0000, 0.5000, 0.0000), O at (0.0203, 0.2614, 0.0281) and O at (0.2313, 0.0128, 0.8935).

The energy comes out at -5.039 eV per atom. The spin magnetization is 1.0 μB/f.u. As for the formation energy from raw total energies: -1421.8 meV/atom. The volume is 390 Å³/cell.

No. 4
Entry from Alexandria via LeMat-Bulk: a relaxed Li2CaAuO crystal (PBE-GGA).

It has space group P4/mmm (No. 123), with a = 4.2394 Å, b = 4.2394 Å, c = 4.5945 Å, α = 90.00°, β = 90.00° and γ = 90.00°. Symmetry generates all atoms from Li at (0.0000, 0.5000, 0.0000), Ca at (0.0000, 0.0000, 0.5000), Au at (0.5000, 0.5000, 0.5000) and O at (0.0000, 0.0000, 0.0000).

The energy comes out at -4.091 eV per atom. The spin magnetization is 0.5 μB/f.u. As for the formation energy from raw total energies: -1278.2 meV/atom. The volume is 83 Å³/cell.

No. 5
Entry from Alexandria via LeMat-Bulk: a relaxed LiCa2AuO crystal (PBE-GGA).

It has space group P4/mmm (No. 123), with a = 4.7995 Å, b = 4.7995 Å, c = 4.1365 Å, α = 90.00°, β = 90.00° and γ = 90.00°. Symmetry generates all atoms from Li at (0.0000, 0.0000, 0.0000), Ca at (0.0000, 0.5000, 0.5000), Au at (0.5000, 0.5000, 0.0000) and O at (0.0000, 0.0000, 0.5000).

The energy comes out at -4.265 eV per atom. The spin magnetization is 0.0 μB/f.u. As for the formation energy from raw total energies: -1434.5 meV/atom. The volume is 95 Å³/cell.

No. 6
Entry from Alexandria via LeMat-Bulk: a relaxed Li2CaP2Au2 crystal (PBE-GGA).

It has space group R-3m (No. 166, hexagonal axes), with a = 4.2818 Å, b = 4.2818 Å, c = 23.3403 Å, α = 90.00°, β = 90.00° and γ = 120.00°. Symmetry generates all atoms from Li at (0.0000, 0.0000, 0.1404), Ca at (0.0000, 0.0000, 0.0000), P at (0.0000, 0.0000, 0.2515) and Au at (0.0000, 0.0000, 0.4260).

The energy comes out at -4.036 eV per atom. The spin magnetization is 0.0 μB/f.u. The calculation puts the formation energy at -5.05 eV/f.u. The volume is 371 Å³/cell.

- What is the formula in the sixth record?
  Li2CaP2Au2

- Number 6 is which compound?
  Li2CaP2Au2

- Look up the energy of the fourth one.
  -4.091 eV per atom

- Number 4 is which compound?
  Li2CaAuO